{"formula": "FeSiTc2", "functional": "PBE", "state": "optimized geometry", "lattice": [[-3.3533, 0.5415, 2.3867], [-0.3219, -2.0440, -3.5990], [1.4678, -6.4313, 3.5213]], "species": ["Fe", "Fe", "Si", "Si", "Tc", "Tc", "Tc", "Tc"], "fractional_positions": [[0.0000, 0.0000, 0.2500], [0.0000, 0.0000, 0.7500], [0.6667, 0.3333, 0.2500], [0.3333, 0.6667, 0.7500], [0.3333, 0.6667, 0.0765], [0.3333, 0.6667, 0.4235], [0.6667, 0.3333, 0.5765], [0.6667, 0.3333, 0.9235]], "spacegroup": "P6_3/mmc, No. 194", "e_tot_ev_per_cell": -68.3}

{"formula": "K2AgSbS4", "functional": "PBE", "state": "optimized geometry", "lattice": [[-4.4851, 9.3673, 7.6191], [-4.4145, 10.5285, 0.2417], [-5.7435, -1.5496, 4.5156]], "species": ["Ag", "Ag", "K", "K", "K", "K", "S", "S", "S", "S", "S", "S", "S", "S", "Sb", "Sb"], "fractional_positions": [[0.5000, 0.5000, 0.5000], [0.7500, 0.7500, 0.7500], [0.4343, 0.4343, 0.0657], [0.8157, 0.8157, 0.1843], [0.0657, 0.0657, 0.4343], [0.1843, 0.1843, 0.8157], [0.7445, 0.3782, 0.0476], [0.5055, 0.8718, 0.2024], [0.8297, 0.0476, 0.3782], [0.8718, 0.5055, 0.4203], [0.2024, 0.4203, 0.5055], [0.0476, 0.8297, 0.7445], [0.3782, 0.7445, 0.8297], [0.4203, 0.2024, 0.8718], [0.0000, 0.0000, 0.0000], [0.2500, 0.2500, 0.2500]], "spacegroup": "Fddd, No. 70", "e_tot_ev_per_cell": -61.0}

{"formula": "TmTcB", "functional": "PBE", "state": "optimized geometry", "lattice": [[0.0000, 2.8730, 2.8730], [2.8730, 0.0000, 2.8730], [2.8730, 2.8730, 0.0000]], "species": ["B", "Tc", "Tm"], "fractional_positions": [[0.0000, 0.0000, 0.0000], [0.7500, 0.7500, 0.7500], [0.2500, 0.2500, 0.2500]], "polymorph_energy_mev_per_atom": 0.0, "spacegroup": "F-43m, No. 216", "e_tot_ev_per_cell": -21.3}

{"formula": "Nd4PCl5", "functional": "PBE", "state": "optimized geometry", "lattice": [[8.9660, -2.0127, 0.0000], [8.9660, 2.0127, 0.0000], [-2.0968, 0.0000, 8.0081]], "species": ["Cl", "Cl", "Cl", "Cl", "Cl", "Nd", "Nd", "Nd", "Nd", "P"], "fractional_positions": [[0.8289, 0.8289, 0.1522], [0.1665, 0.1665, 0.3390], [0.5000, 0.5000, 0.5000], [0.8335, 0.8335, 0.6610], [0.1711, 0.1711, 0.8478], [0.6553, 0.6553, 0.0919], [0.0000, 0.0000, 0.2286], [0.0000, 0.0000, 0.7714], [0.3447, 0.3447, 0.9081], [0.5000, 0.5000, 0.0000]], "spacegroup": "C2/m, No. 12", "e_tot_ev_per_cell": -52.8}

{"formula": "AlAu", "functional": "PBE", "state": "optimized geometry", "lattice": [[-2.0449, -3.5005, 0.5600], [-4.0914, -0.0173, -0.0942], [-1.9673, -1.7448, -3.1360]], "species": ["Al", "Au"], "fractional_positions": [[0.0000, 0.0000, 0.0000], [0.2500, 0.2500, 0.2500]], "spacegroup": "F-43m, No. 216", "e_tot_ev_per_cell": -7.1}

{"formula": "TlCoPdPt", "functional": "PBE", "state": "optimized geometry", "lattice": [[3.0186, -3.1019, -1.2678], [2.2507, -2.3614, 3.1143], [-0.8888, -4.3828, 0.5849]], "species": ["Co", "Pd", "Pt", "Tl"], "fractional_positions": [[0.7500, 0.7500, 0.7500], [0.2500, 0.2500, 0.2500], [0.5000, 0.5000, 0.5000], [0.0000, 0.0000, 0.0000]], "polymorph_energy_mev_per_atom": 0.0, "spacegroup": "F-43m, No. 216", "e_tot_ev_per_cell": -20.1}

{"formula": "KRb2HfF7", "functional": "PBE", "state": "optimized geometry", "lattice": [[4.1282, -4.0632, 0.0000], [4.1282, 4.0632, 0.0000], [-3.5390, 0.0000, 5.7331]], "species": ["F", "F", "F", "F", "F", "F", "F", "Hf", "K", "Rb", "Rb"], "fractional_positions": [[0.8522, 0.8522, 0.1886], [0.9746, 0.3041, 0.2115], [0.3041, 0.9746, 0.2115], [0.6572, 0.6572, 0.7554], [0.6584, 0.1004, 0.7910], [0.1004, 0.6584, 0.7910], [0.1295, 0.1295, 0.8395], [0.9517, 0.9517, 0.9665], [0.4938, 0.4938, 0.0077], [0.7601, 0.2430, 0.4936], [0.2430, 0.7601, 0.4936]], "spacegroup": "Cm, No. 8", "e_tot_ev_per_cell": -62.3}

{"formula": "CsLuNiS3", "functional": "PBE", "state": "optimized geometry", "lattice": [[10.3143, 0.0000, 0.0000], [0.0000, 3.9036, 0.0000], [0.0000, 0.0000, 15.1896]], "species": ["Cs", "Cs", "Cs", "Cs", "Lu", "Lu", "Lu", "Lu", "Ni", "Ni", "Ni", "Ni", "S", "S", "S", "S", "S", "S", "S", "S", "S", "S", "S", "S"], "fractional_positions": [[0.2497, 0.0000, 0.0134], [0.7497, 0.0000, 0.4866], [0.2503, 0.5000, 0.5134], [0.7503, 0.5000, 0.9866], [0.4997, 0.5000, 0.2497], [0.9997, 0.5000, 0.2503], [0.0003, 0.0000, 0.7497], [0.5003, 0.0000, 0.7503], [0.7497, 0.0000, 0.2105], [0.2496, 0.0000, 0.2895], [0.7504, 0.5000, 0.7105], [0.2504, 0.5000, 0.7895], [0.5601, 0.0000, 0.1361], [0.9396, 0.0000, 0.1366], [0.2496, 0.5000, 0.2088], [0.7496, 0.5000, 0.2912], [0.4396, 0.0000, 0.3634], [0.0601, 0.0000, 0.3639], [0.9399, 0.5000, 0.6361], [0.5604, 0.5000, 0.6366], [0.2504, 0.0000, 0.7088], [0.7504, 0.0000, 0.7912], [0.0604, 0.5000, 0.8634], [0.4399, 0.5000, 0.8639]], "polymorph_energy_mev_per_atom": 16.7, "spacegroup": "Pnma, No. 62", "e_tot_ev_per_cell": -124.4}